The following is a GGA-PBE calculation of a relaxed structure of Ca2Ga3Pd, from Alexandria via LeMat-Bulk.

```
data_Ca2Ga3Pd
_symmetry_space_group_name_H-M 'F m m m'
_symmetry_Int_Tables_number 69
_symmetry_space_group_name_Hall '-F 2 2'
_cell_length_a 7.135
_cell_length_b 9.115
_cell_length_c 15.774
_cell_angle_alpha 90.00
_cell_angle_beta 90.00
_cell_angle_gamma 90.00
loop_
_atom_site_label
_atom_site_type_symbol
_atom_site_fract_x
_atom_site_fract_y
_atom_site_fract_z
_atom_site_occupancy
Ca1 Ca 0.248 0.000 0.000 1
Ca2 Ca 0.250 0.250 0.250 1
Ga1 Ga 0.000 0.000 0.330 1
Ga2 Ga 0.000 0.245 0.085 1
Pd1 Pd 0.000 0.000 0.167 1
```

The formation energy comes out at -3.59 eV per formula unit. The volume is 1026 Å³/cell.


The following is a GGA-PBE calculation of a relaxed structure of Ca3Ga4Pd2, from Alexandria via LeMat-Bulk.

```
data_Ca3Ga4Pd2
_symmetry_space_group_name_H-M 'C 1 2/m 1'
_symmetry_Int_Tables_number 12
_cell_length_a 10.767
_cell_length_b 4.436
_cell_length_c 8.660
_cell_angle_alpha 90.00
_cell_angle_beta 107.90
_cell_angle_gamma 90.00
loop_
_symmetry_equiv_pos_as_xyz
'x,y,z'
'-x,-y,-z'
'-x,y,-z'
'x,-y,z'
'x+1/2,y+1/2,z'
'-x+1/2,-y+1/2,-z'
'-x+1/2,y+1/2,-z'
'x+1/2,-y+1/2,z'
loop_
_atom_site_label
_atom_site_type_symbol
_atom_site_fract_x
_atom_site_fract_y
_atom_site_fract_z
_atom_site_occupancy
Ca1 Ca 0.000 0.000 0.000 1
Ca2 Ca 0.116 0.500 0.372 1
Ga1 Ga 0.094 0.000 0.637 1
Ga2 Ga 0.209 0.500 0.068 1
Pd1 Pd 0.198 0.500 0.763 1
```

The formation energy comes out at -5.59 eV per formula unit. The volume is 394 Å³/cell. The offset from the most stable computed form is 17 meV per atom.


The following is a GGA-PBE calculation of a relaxed structure of CaGa4Pd3, from Alexandria via LeMat-Bulk.

```
data_CaGa4Pd3
_symmetry_space_group_name_H-M 'P 4/m m m'
_symmetry_Int_Tables_number 123
_symmetry_space_group_name_Hall '-P 4 2'
_cell_length_a 4.253
_cell_length_b 4.253
_cell_length_c 8.462
_cell_angle_alpha 90.00
_cell_angle_beta 90.00
_cell_angle_gamma 90.00
loop_
_atom_site_label
_atom_site_type_symbol
_atom_site_fract_x
_atom_site_fract_y
_atom_site_fract_z
_atom_site_occupancy
Ca1 Ca 0.000 0.000 0.000 1
Ga1 Ga 0.000 0.500 0.322 1
Pd1 Pd 0.000 0.000 0.500 1
Pd2 Pd 0.500 0.500 0.158 1
```

The formation energy comes out at -4.56 eV per formula unit. The volume is 153 Å³/cell.


The following is a GGA-PBE calculation of a relaxed structure of Ca3Ga2Pd7, from Alexandria via LeMat-Bulk.

```
data_Ca3Ga2Pd7
_symmetry_space_group_name_H-M 'R -3 m'
_symmetry_Int_Tables_number 166
_symmetry_space_group_name_Hall '-R 3 2"'
_cell_length_a 5.6042
_cell_length_b 5.6042
_cell_length_c 25.0527
_cell_angle_alpha 90.00
_cell_angle_beta 90.00
_cell_angle_gamma 120.00
loop_
_atom_site_label
_atom_site_type_symbol
_atom_site_fract_x
_atom_site_fract_y
_atom_site_fract_z
_atom_site_occupancy
Ca1 Ca 0.0000 0.0000 0.0000 1
Ca2 Ca 0.0000 0.0000 0.1403 1
Ga1 Ga 0.0000 0.0000 0.3333 1
Pd1 Pd 0.0000 0.0000 0.5000 1
Pd2 Pd 0.0011 0.5005 0.9220 1
```

The formation energy comes out at -8.92 eV per formula unit. The volume is 681 Å³/cell.


The following is a GGA-PBE calculation of a relaxed structure of CaGa6Pd12, from Alexandria via LeMat-Bulk.

```
data_CaGa6Pd12
_symmetry_space_group_name_H-M 'R -3 m'
_symmetry_Int_Tables_number 166
_symmetry_space_group_name_Hall '-R 3 2"'
_cell_length_a 11.5039
_cell_length_b 11.5039
_cell_length_c 8.4988
_cell_angle_alpha 90.00
_cell_angle_beta 90.00
_cell_angle_gamma 120.00
loop_
_atom_site_label
_atom_site_type_symbol
_atom_site_fract_x
_atom_site_fract_y
_atom_site_fract_z
_atom_site_occupancy
Ca1 Ca 0.0000 0.0000 0.0000 1
Ga1 Ga 0.0417 0.5209 0.2562 1
Pd1 Pd 0.0000 0.3786 0.5000 1
Pd2 Pd 0.0831 0.1661 0.3312 1
```

The formation energy comes out at -10.98 eV per formula unit. The volume is 974 Å³/cell.


The following is a GGA-PBE calculation of a relaxed structure of Ca2Ga4Pd, from Alexandria via LeMat-Bulk.

```
data_Ca2Ga4Pd
_symmetry_space_group_name_H-M 'I 4/m m m'
_symmetry_Int_Tables_number 139
_symmetry_space_group_name_Hall '-I 4 2'
_cell_length_a 4.741
_cell_length_b 4.741
_cell_length_c 15.749
_cell_angle_alpha 90.00
_cell_angle_beta 90.00
_cell_angle_gamma 90.00
loop_
_atom_site_label
_atom_site_type_symbol
_atom_site_fract_x
_atom_site_fract_y
_atom_site_fract_z
_atom_site_occupancy
Ca1 Ca 0.000 0.000 0.149 1
Ga1 Ga 0.000 0.000 0.338 1
Ga2 Ga 0.000 0.500 0.000 1
Pd1 Pd 0.000 0.000 0.500 1
```

The formation energy comes out at -1.76 eV per formula unit. The volume is 354 Å³/cell.